An optimized crystal structure of ZrScAs3. Source: the Alexandria database, functional PBE-GGA.

a b c (Å): 5.127 5.127 5.127
angles (deg): 90.00 90.00 90.00
Sites, in units of the cell vectors:
Sc 0.500 0.500 0.500
As 0.000 0.500 0.000
As 0.000 0.000 0.500
As 0.500 0.000 0.000
Zr 0.000 0.000 0.000

Properties
space group = Pm-3m
excess energy over the best structure of this formula in the dataset = 0 meV/atom
ΔH_f (0 K) = 0.002 eV per atom

=====

An optimized crystal structure of Rb5Ga2P4. Source: the Alexandria database, functional PBE-GGA.

a b c (Å): 4.012 10.141 10.181
angles (deg): 100.58 101.36 90.00
Sites, in units of the cell vectors:
Rb 0.857 0.540 0.715
Rb 0.143 0.460 0.285
Rb 0.829 0.003 0.658
Rb 0.500 0.000 0.000
Rb 0.171 0.997 0.342
Ga 0.415 0.273 0.830
Ga 0.585 0.727 0.170
P 0.299 0.265 0.599
P 0.022 0.745 0.043
P 0.701 0.735 0.401
P 0.978 0.255 0.957

Properties
space group = C2/m
ΔH_f (0 K) = -0.208 eV per atom

=====

An optimized crystal structure of CaYTm2Au4. Source: the Alexandria database, functional PBE-GGA.

a b c (Å): 5.052 5.052 8.812
angles (deg): 73.34 73.34 60.00
Sites, in units of the cell vectors:
Ca 0.000 0.000 0.000
Y 0.500 0.500 0.500
Tm 0.748 0.748 0.755
Tm 0.252 0.252 0.245
Au 0.378 0.378 0.866
Au 0.871 0.871 0.388
Au 0.129 0.129 0.612
Au 0.622 0.622 0.134

Properties
space group = R-3m
ΔH_f (0 K) = -0.850 eV per atom

=====

An optimized crystal structure of Ni3AgS. Source: the Alexandria database, functional PBE-GGA.

a b c (Å): 4.634 4.634 4.634
angles (deg): 90.00 90.00 90.00
Last column: magnetic moment on the atom in μB.
Sites, in units of the cell vectors:
Ni 0.000 0.500 0.000  0.98
Ni 0.000 0.000 0.500  0.90
Ni 0.500 0.000 0.000  0.66
S 0.500 0.500 0.500  0.19
Ag 0.000 0.000 0.000  0.03

Properties
E_form (uncorrected) = 1532 meV per atom
space group = Pm-3m
excess energy over the best structure of this formula in the dataset = 1512 meV/atom

=====

An optimized crystal structure of YOsRu2. Source: the Alexandria database, functional PBE-GGA.

a b c (Å): 5.608 5.608 5.608
angles (deg): 149.39 130.04 59.73
Sites, in units of the cell vectors:
Os 0.250 0.750 0.500
Ru 0.028 0.028 0.000
Ru 0.472 0.472 0.000
Y 0.750 0.250 0.500

Properties
space group = Immm
excess energy over the best structure of this formula in the dataset = 106 meV/atom
ΔH_f (0 K) = 0.267 eV per atom

=====

An optimized crystal structure of Sr3Sb4Ir2. Source: the Alexandria database, functional PBE-GGA.

a b c (Å): 4.682 6.482 9.226
angles (deg): 105.98 90.00 111.17
Sites, in units of the cell vectors:
Sr 0.619 0.238 0.697
Sr 0.000 0.000 0.000
Sr 0.381 0.762 0.303
Sb 0.706 0.412 0.097
Sb 0.294 0.588 0.903
Sb 0.900 0.799 0.609
Sb 0.100 0.201 0.391
Ir 0.702 0.403 0.387
Ir 0.298 0.597 0.613

Properties
E_form (uncorrected) = -645 meV per atom
space group = C2/m

=====

An optimized crystal structure of NdEuGa4. Source: the Alexandria database, functional PBE-GGA.

a b c (Å): 5.646 5.646 5.646
angles (deg): 60.00 60.00 60.00
Last column: magnetic moment on the atom in μB.
Sites, in units of the cell vectors:
Eu 0.250 0.250 0.250  6.82
Nd 0.000 0.000 0.000  0.03
Ga 0.625 0.625 0.125  -0.01
Ga 0.625 0.125 0.625  -0.01
Ga 0.625 0.625 0.625  -0.01
Ga 0.125 0.625 0.625  -0.01

Properties
space group = F-43m
ΔH_f (0 K) = -0.534 eV per atom

=====

An optimized crystal structure of ZnW2Se. Source: the Alexandria database, functional PBE-GGA.

a b c (Å): 2.816 2.816 9.723
angles (deg): 90.00 90.00 110.29
Sites, in units of the cell vectors:
Se 0.500 0.500 0.794
W 0.000 0.000 0.014
W 0.500 0.500 0.234
Zn 0.000 0.000 0.458

Properties
E_form (uncorrected) = 369 meV per atom
space group = Cmm2
excess energy over the best structure of this formula in the dataset = 74 meV/atom

=====

An optimized crystal structure of LiZrRe2. Source: the Alexandria database, functional PBE-GGA.

a b c (Å): 2.652 2.652 9.296
angles (deg): 90.00 90.00 90.00
Sites, in units of the cell vectors:
Li 0.500 0.500 0.750
Re 0.000 0.000 0.987
Re 0.000 0.000 0.513
Zr 0.500 0.500 0.250

Properties
space group = P4/mmm
excess energy over the best structure of this formula in the dataset = 321 meV/atom
ΔH_f (0 K) = 0.401 eV per atom

=====

An optimized crystal structure of LiCd2Pt. Source: the Alexandria database, functional PBE-GGA.

a b c (Å): 5.351 5.351 4.843
angles (deg): 71.48 71.48 32.79
Sites, in units of the cell vectors:
Cd 0.986 0.986 0.053
Cd 0.756 0.756 0.710
Li 0.521 0.521 0.513
Pt 0.237 0.237 0.224

Properties
space group = Cm
excess energy over the best structure of this formula in the dataset = 115 meV/atom
ΔH_f (0 K) = -0.321 eV per atom

=====

An optimized crystal structure of EuGdHoTl. Source: the Alexandria database, functional PBE-GGA.

a b c (Å): 5.531 5.531 5.531
angles (deg): 60.00 60.00 60.00
Last column: magnetic moment on the atom in μB.
Sites, in units of the cell vectors:
Eu 0.500 0.500 0.500  6.86
Tl 0.000 0.000 0.000  -0.01
Gd 0.750 0.750 0.750  -7.06
Ho 0.250 0.250 0.250  0.04

Properties
space group = F-43m
ΔH_f (0 K) = -0.034 eV per atom

=====

An optimized crystal structure of Ag4Sb2S5Cl. Source: the Alexandria database, functional PBE-GGA.

a b c (Å): 7.132 6.460 7.337
angles (deg): 90.00 90.00 123.51
Sites, in units of the cell vectors:
Ag 0.666 0.000 0.209
Ag 0.666 0.000 0.791
Ag 0.381 0.481 0.000
Ag 0.900 0.519 0.000
Sb 0.039 0.622 0.500
Sb 0.417 0.378 0.500
S 0.073 0.378 0.247
S 0.452 0.000 0.500
S 0.073 0.378 0.753
S 0.695 0.622 0.753
S 0.695 0.622 0.247
Cl 0.349 0.000 0.000

Properties
E_form (uncorrected) = -131 meV per atom
space group = Amm2